(1)
Density functional theory data (GGA-PBE) for a relaxed structure of CaEr2Ir9. Values from VASP.

Calculated values
Size of the total moment ... 0.0 Bohr magnetons per cell
Total DFT energy (no corrections) ... -96.82 eV per formula unit
Energy of formation from the pure elements ... -495 meV/atom
SG ... R-3m
Density of states at the Fermi level ... 1.0972 states/eV per atom

```
&SYSTEM
  ibrav = 0, nat = 12, ntyp = 3
/
ATOMIC_SPECIES
Ir 192.22 Ir.upf
Ca 40.08 Ca.upf
Er 167.26 Er.upf
CELL_PARAMETERS angstrom
-3.778 -2.669 -2.616
0.604 -5.189 -0.975
-4.972 -4.498 6.373
ATOMIC_POSITIONS crystal
Ir 0.333 0.333 0.001
Ir 0.917 0.417 0.248
Ir 0.667 0.667 0.999
Ir 0.500 0.500 0.500
Ca 0.000 0.000 0.000
Ir 0.583 0.583 0.752
Ir 0.417 0.417 0.248
Er 0.138 0.138 0.585
Er 0.862 0.862 0.415
Ir 0.417 0.917 0.248
Ir 0.583 0.083 0.752
Ir 0.083 0.583 0.752
```

=====

(2)
Density functional theory data (GGA-PBE) for a relaxed structure of MnGaHOs. Values from VASP.

Calculated values
Energy relative to the lowest polymorph listed for this composition ... 66 meV per atom
Size of the total moment ... 1.1 Bohr magnetons per cell
Total DFT energy (no corrections) ... -26.43 eV per formula unit
SG ... Amm2
Density of states at the Fermi level ... 0.4329 states/eV per atom

```
&SYSTEM
  ibrav = 0, nat = 8, ntyp = 4
/
ATOMIC_SPECIES
Ga 69.72 Ga.upf
Os 190.23 Os.upf
H 1.01 H.upf
Mn 54.94 Mn.upf
CELL_PARAMETERS angstrom
2.814 0.000 0.000
0.000 2.740 0.000
0.000 0.000 11.419
ATOMIC_POSITIONS crystal
Ga 0.000 0.000 0.503
Os 0.000 0.000 0.211
Os 0.000 0.500 0.711
Ga 0.000 0.500 0.003
H 0.500 0.500 0.186
H 0.500 0.000 0.686
Mn 0.500 0.500 0.351
Mn 0.500 0.000 0.851
```

=====

(3)
Density functional theory data (GGA-PBE) for a relaxed structure of GaHgW3. Values from VASP.

Calculated values
Energy relative to the lowest polymorph listed for this composition ... 0 meV per atom
Size of the total moment ... 0.0 Bohr magnetons per cell
Total DFT energy (no corrections) ... -32.78 eV per formula unit
Energy of formation from the pure elements ... 1882 meV/atom
SG ... Pm-3m
Density of states at the Fermi level ... 1.0202 states/eV per atom

```
&SYSTEM
  ibrav = 0, nat = 5, ntyp = 3
/
ATOMIC_SPECIES
W 183.84 W.upf
Hg 200.59 Hg.upf
Ga 69.72 Ga.upf
CELL_PARAMETERS angstrom
-1.798 -3.629 -2.215
4.132 -0.925 -1.839
1.002 -2.699 3.609
ATOMIC_POSITIONS crystal
W 0.000 0.500 0.000
Hg 0.500 0.500 0.500
W 0.500 0.000 0.000
Ga 0.000 0.000 0.000
W 0.000 0.000 0.500
```